DFT (PBE with a Hubbard U) results for crystalline CrPdOF2 at its relaxed geometry.

a b c (Å): 3.929 3.929 3.968
angles (deg): 90.00 90.00 90.00
Atoms (fractional coordinates):
Cr (0.000, 0.000, 0.000)
O (0.000, 0.000, 0.500)
Pd (0.500, 0.500, 0.500)
F (0.000, 0.500, 0.000)
F (0.500, 0.000, 0.000)

Summary:
Space-group type: P4/mmm, No. 123
Energy relative to the lowest polymorph listed for this composition (kJ/mol of atoms): 0.0
Magnetic moment (μB per formula unit): 2.00